VASP calculation (PBE) on a geometry-optimized ErMg2Cd structure.

a = 3.3103 Å, b = 3.3103 Å, c = 31.5139 Å
α = 90.00°, β = 90.00°, γ = 120.00°
Space group R3m (No. 160, hexagonal axes)
Symmetry-distinct sites (fractional):
Er 0.0000 0.0000 0.0000 (multiplicity 3)
Mg 0.0000 0.0000 0.5773 (multiplicity 3)
Mg 0.0000 0.0000 0.7546 (multiplicity 3)
Cd 0.0000 0.0000 0.1659 (multiplicity 3)

Raw total energy   -2.18 eV per atom
ΔE_f   -0.01 eV per atom
E above lowest polymorph   168 meV/atom